Entry 1:
VASP calculation (PBE) on crystalline Ba2LaNdS4 at its relaxed geometry.

## Properties
Its density is 5.02 g/cm3. The value obtained for the magnetization is 0.00 μB/atom. The calculation puts the total energy at -46.49 eV/cell. The calculation puts the uncorrected formation energy at -2.0551 eV/atom. The space-group type is No. 10.

a b c (Å): 4.2720 7.3855 7.6036
angles (deg): 108.93 90.00 90.00
Atoms (fractional coordinates):
Nd 0.0000 0.0000 0.0000
S 0.5000 0.2380 0.2211
S 0.0000 0.2563 0.7777
S 0.0000 0.7437 0.2223
S 0.5000 0.7620 0.7789
Ba 0.0000 0.5000 0.5000
Ba 0.5000 0.0000 0.5000
La 0.5000 0.5000 0.0000

Entry 2:
VASP calculation (PBE) on crystalline PmSn3Au3 at its relaxed geometry.

## Properties
Its density is 8.57 g/cm3. For the energy relative to the lowest polymorph listed for this composition, the calculation gives 0.3950 eV per atom. The value obtained for the magnetization is 0.00 μB/atom. The calculation puts the total energy at -52.92 eV/cell. The space-group type is No. 223. The value obtained for the energy of formation is 0.019 eV/atom.

a b c (Å): 7.5076 7.5076 7.5076
angles (deg): 90.00 90.00 90.00
Atoms (fractional coordinates):
Sn 0.0000 0.5000 0.2500
Sn 0.5000 0.2500 0.0000
Sn 0.7500 0.0000 0.5000
Sn 0.2500 0.0000 0.5000
Sn 0.5000 0.7500 0.0000
Sn 0.0000 0.5000 0.7500
Pm 0.5000 0.5000 0.5000
Pm 0.0000 0.0000 0.0000
Au 0.5000 0.0000 0.2500
Au 0.0000 0.2500 0.5000
Au 0.5000 0.0000 0.7500
Au 0.7500 0.5000 0.0000
Au 0.2500 0.5000 0.0000
Au 0.0000 0.7500 0.5000

Entry 3:
VASP calculation (PBE) on crystalline TmAl8Co4 at its relaxed geometry.

## Properties
Its density is 5.59 g/cm3. The value obtained for the magnetization is 0.00 μB/atom. The calculation puts the total energy at -69.57 eV/cell. The space-group type is No. 139. The value obtained for the energy of formation is -0.518 eV/atom.

a b c (Å): 5.1000 6.5316 6.5316
angles (deg): 81.23 67.02 67.02
Atoms (fractional coordinates):
Co 0.5000 0.0000 0.5000
Co 0.5000 0.5000 0.0000
Co 0.0000 0.0000 0.5000
Co 0.0000 0.5000 0.0000
Al 0.6610 0.3390 0.3390
Al 0.3390 0.6610 0.6610
Al 0.7223 0.7777 0.7777
Al 0.2777 0.2223 0.2223
Al 0.0000 0.6610 0.3390
Al 0.0000 0.3390 0.6610
Al 0.5000 0.2223 0.7777
Al 0.5000 0.7777 0.2223
Tm 0.0000 0.0000 0.0000